Density functional theory data (PBE) for an optimized crystal structure of Sb2TePbI.

Cell lengths 5.941, 5.941, 5.757 Å; angles 90.00, 90.00, 90.00 degrees
Positions (direct):
Pb  0.000  0.000  0.000
I  0.500  0.500  0.500
Sb  0.000  0.500  0.000
Te  0.000  0.000  0.500
Sb  0.500  0.000  0.000

Magnetization ... 0.72 μB per formula unit
E_tot ... -2.58 eV/atom
Formation energy without anion corrections ... 0.748 eV per atom
ΔE to the lowest computed polymorph ... 0.168 eV/atom

Density functional theory data (PBE) for an optimized crystal structure of Sb2TePbI.

Cell lengths 5.940, 5.940, 5.834 Å; angles 90.00, 90.00, 90.00 degrees
Positions (direct):
I  0.000  0.000  0.500
Sb  0.500  0.000  0.000
Sb  0.000  0.500  0.000
Te  0.500  0.500  0.500
Pb  0.000  0.000  0.000

Magnetization ... 0.71 μB per formula unit
E_tot ... -2.59 eV/atom
Formation energy without anion corrections ... 0.739 eV per atom
ΔE to the lowest computed polymorph ... 0.158 eV/atom

Density functional theory data (PBE) for an optimized crystal structure of TlSbPbI6.

Cell lengths 8.066, 8.066, 15.293 Å; angles 90.00, 90.00, 120.00 degrees
Positions (direct):
I  0.981  0.352  0.131
I  0.629  0.648  0.631
I  0.981  0.629  0.369
Pb  0.333  0.667  0.250
Sb  0.667  0.333  0.250
I  0.648  0.019  0.369
Sb  0.333  0.667  0.750
Tl  0.000  0.000  0.500
I  0.371  0.019  0.131
I  0.019  0.371  0.631
I  0.352  0.371  0.869
I  0.019  0.648  0.869
I  0.629  0.981  0.869
Pb  0.667  0.333  0.750
I  0.352  0.981  0.631
Tl  0.000  0.000  0.000
I  0.648  0.629  0.131
I  0.371  0.352  0.369

Magnetization ... 0.00 μB per formula unit
E_tot ... -2.67 eV/atom
Formation energy without anion corrections ... -0.501 eV per atom

Density functional theory data (PBE) for an optimized crystal structure of TlSbPbI2.

Cell lengths 6.332, 6.332, 6.104 Å; angles 90.00, 90.00, 90.00 degrees
Positions (direct):
Tl  0.500  0.500  0.500
I  0.500  0.000  0.000
Sb  0.000  0.000  0.500
Pb  0.000  0.000  0.000
I  0.000  0.500  0.000

Magnetization ... 1.68 μB per formula unit
E_tot ... -2.65 eV/atom
Formation energy without anion corrections ... 0.012 eV per atom
ΔE to the lowest computed polymorph ... 0.000 eV/atom

Density functional theory data (PBE) for an optimized crystal structure of TlSbPbI2.

Cell lengths 6.062, 6.062, 5.834 Å; angles 90.00, 90.00, 90.00 degrees
Positions (direct):
Pb  0.500  0.500  0.500
I  0.000  0.500  0.000
Tl  0.000  0.000  0.000
Sb  0.000  0.000  0.500
I  0.500  0.000  0.000

Magnetization ... 0.60 μB per formula unit
E_tot ... -2.35 eV/atom
Formation energy without anion corrections ... 0.312 eV per atom
ΔE to the lowest computed polymorph ... 0.299 eV/atom

Density functional theory data (PBE) for an optimized crystal structure of VSbPbI2.

Cell lengths 5.470, 5.470, 5.466 Å; angles 90.00, 90.00, 90.00 degrees
Positions (direct):
Pb  0.500  0.500  0.500
I  0.500  0.000  0.000
I  0.000  0.500  0.000
V  0.000  0.000  0.000
Sb  0.000  0.000  0.500

Magnetization ... 2.23 μB per formula unit
E_tot ... -3.83 eV/atom
Formation energy without anion corrections ... 0.181 eV per atom
ΔE to the lowest computed polymorph ... 0.000 eV/atom

Please write out number 4 again, unchanged.
Density functional theory data (PBE) for an optimized crystal structure of TlSbPbI2.

Cell lengths 6.332, 6.332, 6.104 Å; angles 90.00, 90.00, 90.00 degrees
Positions (direct):
Tl  0.500  0.500  0.500
I  0.500  0.000  0.000
Sb  0.000  0.000  0.500
Pb  0.000  0.000  0.000
I  0.000  0.500  0.000

Magnetization ... 1.68 μB per formula unit
E_tot ... -2.65 eV/atom
Formation energy without anion corrections ... 0.012 eV per atom
ΔE to the lowest computed polymorph ... 0.000 eV/atom